Material: LaMg5
Method: DFT, PBE-GGA
State: optimized geometry

- Space-group type: P1, No. 1
- Energy of formation: -0.01 eV per atom
- N(E_F): 0.7010 states/eV/atom

abc: 3.430 6.523 7.613
angles: 108.34 89.99 105.09
Atoms (fractional coordinates):
Mg  0.954  0.906  0.961
Mg  0.305  0.611  0.141
Mg  0.639  0.278  0.278
Mg  0.971  0.943  0.413
Mg  0.325  0.651  0.596
La  0.638  0.277  0.777